{
  "formula": "CrRh2Br",
  "functional": "GGA-PBE",
  "state": "optimized geometry",
  "spacegroup": "R-3m",
  "crystal_system": "trigonal",
  "magmom_total_mub_per_fu": 0.00,
  "relative_energy_mev_per_atom": 100,
  "n_ef_per_ev_atom": 1.239,
  "volume_a3_per_atom": 15.63,
  "formation_energy_uncorrected_ev_per_atom": 0.376,
  "rho_g_cm3": 8.97,
  "lattice_angstrom": [[9.0969, -0.0493, -0.0289], [8.6688, 2.7583, -0.0289], [8.6688, 1.3219, 2.4211]],
  "species": ["Cr", "Rh", "Rh", "Br"],
  "fractional_positions": [[0.7500, 0.7500, 0.7500], [0.4884, 0.4884, 0.4884], [0.0116, 0.0116, 0.0116], [0.2500, 0.2500, 0.2500]]
}